Compound: ZrNp2PdS4
Source: the Alexandria database
Functional: PBE
Structure: relaxed

a = 6.724 Å, b = 6.724 Å, c = 6.526 Å
α = 90.00°, β = 90.00°, γ = 90.00°
Atoms (fractional coordinates):
1 Zr 0.000 0.000 0.000
2 Zr 0.500 0.500 0.500
3 Np 0.000 0.500 0.000
4 Np 0.000 0.500 0.500
5 Np 0.500 0.000 0.000
6 Np 0.500 0.000 0.500
7 Pd 0.000 0.000 0.500
8 Pd 0.500 0.500 0.000
9 S 0.204 0.204 0.269
10 S 0.204 0.796 0.731
11 S 0.296 0.296 0.769
12 S 0.296 0.704 0.231
13 S 0.704 0.296 0.231
14 S 0.704 0.704 0.769
15 S 0.796 0.204 0.731
16 S 0.796 0.796 0.269

Values from the calculation:
Formation energy from raw total energies = -1.0647 eV per atom
SG = I-42m, No. 121
Magnetic moment = 1.010 μB per atom